[1]
Below is a geometry-optimized TaTlVO6 structure, with properties calculated at the PBE with a Hubbard U level.

Unit cell a=5.215 b=5.215 c=5.141 alpha=90.00 beta=90.00 gamma=120.00
Atoms (fractional coordinates):
Ta  0.000  0.000  0.000
Tl  0.333  0.667  0.500
V  0.667  0.333  0.000
O  0.345  0.055  0.211
O  0.345  0.291  0.789
O  0.709  0.055  0.789
O  0.709  0.655  0.211
O  0.945  0.291  0.211
O  0.945  0.655  0.789

Output
- Total DFT energy (no corrections): -7.63 eV/atom
- Calculated density: 7.30 g/cm³
- Calculated volume: 13.455 A^3/atom

***

[2]
Below is a geometry-optimized Ta3Tl2VO12 structure, with properties calculated at the PBE with a Hubbard U level.

Unit cell a=7.337 b=7.337 c=7.337 alpha=60.87 beta=60.87 gamma=60.87
Atoms (fractional coordinates):
Ta  0.000  0.500  0.500
Ta  0.500  0.000  0.500
Ta  0.500  0.500  0.000
Tl  0.119  0.119  0.119
Tl  0.881  0.881  0.881
V  0.500  0.500  0.500
O  0.183  0.183  0.562
O  0.183  0.562  0.183
O  0.201  0.558  0.558
O  0.438  0.817  0.817
O  0.442  0.442  0.799
O  0.442  0.799  0.442
O  0.558  0.201  0.558
O  0.558  0.558  0.201
O  0.562  0.183  0.183
O  0.799  0.442  0.442
O  0.817  0.438  0.817
O  0.817  0.817  0.438

Output
- Total DFT energy (no corrections): -8.02 eV/atom
- Calculated density: 6.96 g/cm³
- Calculated volume: 15.822 A^3/atom

***

[3]
Below is a geometry-optimized TaTlV2O8 structure, with properties calculated at the PBE with a Hubbard U level.

Unit cell a=5.685 b=5.685 c=7.774 alpha=90.00 beta=90.00 gamma=120.00
Atoms (fractional coordinates):
Ta  0.000  0.000  0.000
Tl  0.000  0.000  0.500
V  0.333  0.667  0.776
V  0.667  0.333  0.224
O  0.163  0.325  0.849
O  0.163  0.837  0.849
O  0.325  0.163  0.151
O  0.333  0.667  0.564
O  0.667  0.333  0.436
O  0.675  0.837  0.849
O  0.837  0.163  0.151
O  0.837  0.675  0.151

Output
- Total DFT energy (no corrections): -7.80 eV/atom
- Calculated density: 4.69 g/cm³
- Calculated volume: 18.136 A^3/atom

***

[4]
Below is a geometry-optimized TaTl2VO6 structure, with properties calculated at the PBE with a Hubbard U level.

Unit cell a=5.656 b=5.656 c=5.656 alpha=60.00 beta=60.00 gamma=60.00
Atoms (fractional coordinates):
Ta  0.000  0.000  0.000
Tl  0.250  0.250  0.250
Tl  0.750  0.750  0.750
V  0.500  0.500  0.500
O  0.254  0.254  0.746
O  0.254  0.746  0.254
O  0.254  0.746  0.746
O  0.746  0.254  0.254
O  0.746  0.254  0.746
O  0.746  0.746  0.254

Output
- Total DFT energy (no corrections): -7.10 eV/atom
- Calculated density: 9.56 g/cm³
- Calculated volume: 12.793 A^3/atom

***

What is the calculated volume in the second record?
15.822 A^3/atom